Below is a geometry-optimized Pr4Sm10Tm structure, with properties calculated at the GGA-PBE level.

## Properties
Its density is 7.07 g/cm3. As for the volume: 525.0 Å³/cell. Its space group is I4/m, No. 87. The value obtained for the formation energy is 327 meV per atom. The calculated total energy is -0.161 Ha/atom.

abc: 8.811 8.811 8.811
angles: 111.29 111.29 105.89
Fractional coordinates of all 15 atoms:
Pr1 0.061 0.672 0.732
Pr2 0.328 0.061 0.389
Pr3 0.672 0.939 0.611
Pr4 0.939 0.328 0.268
Sm1 0.131 0.224 0.678
Sm2 0.224 0.546 0.093
Sm3 0.250 0.750 0.500
Sm4 0.453 0.131 0.907
Sm5 0.454 0.547 0.678
Sm6 0.546 0.453 0.322
Sm7 0.547 0.869 0.093
Sm8 0.750 0.250 0.500
Sm9 0.776 0.454 0.907
Sm10 0.869 0.776 0.322
Tm1 0.000 0.000 0.000